1.
# CuIBr4 (GGA-PBE, relaxed)
# Crystal system: monoclinic
# Spin magnetization in μB/f.u.: 0.00
# Energy relative to the elements, uncorrected in eV/atom: -0.11
data_CuIBr4
_chemical_formula_sum 'Cu2 I2 Br8'
_symmetry_space_group_name_H-M 'P 1'
_symmetry_Int_Tables_number 1
_cell_length_a 6.045
_cell_length_b 5.833
_cell_length_c 14.065
_cell_angle_alpha 90.00
_cell_angle_beta 114.87
_cell_angle_gamma 90.00
loop_
_symmetry_equiv_pos_as_xyz
'x,y,z'
loop_
_atom_site_label
_atom_site_type_symbol
_atom_site_fract_x
_atom_site_fract_y
_atom_site_fract_z
Cu1 Cu 0.000 0.000 0.000
Cu2 Cu 0.000 0.500 0.500
I1 I 0.500 0.000 0.500
I2 I 0.500 0.500 0.000
Br1 Br 0.025 0.164 0.154
Br2 Br 0.025 0.336 0.654
Br3 Br 0.356 0.705 0.613
Br4 Br 0.356 0.795 0.113
Br5 Br 0.644 0.205 0.887
Br6 Br 0.644 0.295 0.387
Br7 Br 0.975 0.664 0.346
Br8 Br 0.975 0.836 0.846

2.
# Tb2FeNi (GGA-PBE, relaxed)
# Formation enthalpy at 0 K in eV per atom: 0.53
# Crystal system: trigonal
# Spin magnetization in μB/f.u.: 1.85
data_Tb2FeNi
_chemical_formula_sum 'Tb2 Fe1 Ni1'
_symmetry_space_group_name_H-M 'P 1'
_symmetry_Int_Tables_number 1
_cell_length_a 9.235
_cell_length_b 9.235
_cell_length_c 9.235
_cell_angle_alpha 21.30
_cell_angle_beta 21.30
_cell_angle_gamma 21.30
loop_
_symmetry_equiv_pos_as_xyz
'x,y,z'
loop_
_atom_site_label
_atom_site_type_symbol
_atom_site_fract_x
_atom_site_fract_y
_atom_site_fract_z
Tb1 Tb 0.098 0.098 0.098
Tb2 Tb 0.902 0.902 0.902
Fe1 Fe 0.000 0.000 0.000
Ni1 Ni 0.500 0.500 0.500

3.
# Li4AsH (GGA-PBE, relaxed)
# Crystal system: triclinic
# Raw total energy in eV/cell: -18.52
# Spin magnetization in μB/f.u.: 0.00
data_Li4AsH
_chemical_formula_sum 'Li4 As1 H1'
_symmetry_space_group_name_H-M 'P 1'
_symmetry_Int_Tables_number 1
_cell_length_a 4.402
_cell_length_b 4.407
_cell_length_c 5.226
_cell_angle_alpha 77.87
_cell_angle_beta 78.10
_cell_angle_gamma 83.64
loop_
_symmetry_equiv_pos_as_xyz
'x,y,z'
loop_
_atom_site_label
_atom_site_type_symbol
_atom_site_fract_x
_atom_site_fract_y
_atom_site_fract_z
Li1 Li 0.058 0.117 0.243
Li2 Li 0.386 0.440 0.758
Li3 Li 0.614 0.560 0.242
Li4 Li 0.942 0.883 0.757
As1 As 0.500 0.000 0.500
H1 H 0.000 0.500 0.000